1.
Material: Na3U2CuSe6
Method: DFT, PBE-GGA
State: relaxed

a = 7.0359 Å, b = 7.0359 Å, c = 7.3759 Å
α = 99.14°, β = 99.14°, γ = 120.00°
Sites, in units of the cell vectors:
1 Na 0.0000 0.0000 0.0000
2 Na 0.3340 0.6660 0.0000
3 Na 0.6660 0.3340 0.0000
4 U 0.1668 0.8332 0.5000
5 U 0.8332 0.1668 0.5000
6 Cu 0.5000 0.5000 0.5000
7 Se 0.0953 0.4249 0.2748
8 Se 0.2454 0.2454 0.7252
9 Se 0.4249 0.0953 0.2748
10 Se 0.5751 0.9047 0.7252
11 Se 0.7546 0.7546 0.2748
12 Se 0.9047 0.5751 0.7252

**Total energy**: -63.779 eV per formula unit
**M_tot**: 0.33 μB per atom
**Energy relative to the elements, uncorrected**: -12.24 eV per formula unit
**Density of states at the Fermi level**: 14.22 states/eV/cell

2.
Material: SrCu2Ni
Method: DFT, PBE-GGA
State: relaxed

a = 5.3792 Å, b = 9.0705 Å, c = 3.0220 Å
α = 90.00°, β = 110.57°, γ = 90.00°
Sites, in units of the cell vectors:
1 Sr 0.0000 0.0000 0.0000
2 Sr 0.5000 0.5000 0.0000
3 Cu 0.2500 0.2500 0.5000
4 Cu 0.2500 0.7500 0.5000
5 Cu 0.7500 0.2500 0.5000
6 Cu 0.7500 0.7500 0.5000
7 Ni 0.0000 0.5000 0.0000
8 Ni 0.5000 0.0000 0.0000

**Total energy**: -13.671 eV per formula unit
**M_tot**: 0.00 μB per atom
**DFT formation energy**: 0.4961 eV/atom
**Density of states at the Fermi level**: 3.95 states/eV/cell

3.
Material: Tl2InCuI
Method: DFT, PBE-GGA
State: relaxed

a = 5.4288 Å, b = 5.4288 Å, c = 5.2255 Å
α = 90.00°, β = 90.00°, γ = 90.00°
Sites, in units of the cell vectors:
1 Tl 0.0000 0.5000 0.0000
2 Tl 0.5000 0.0000 0.0000
3 In 0.0000 0.0000 0.5000
4 Cu 0.0000 0.0000 0.0000
5 I 0.5000 0.5000 0.5000

**Total energy**: -13.594 eV per formula unit
**M_tot**: 0.00 μB per atom
**Energy relative to the elements, uncorrected**: -0.48 eV per formula unit
**Density of states at the Fermi level**: 0.87 states/eV/cell

4.
Material: Sc3Al3Fe2Ru
Method: DFT, PBE-GGA
State: relaxed

a = 7.5944 Å, b = 7.5944 Å, c = 2.9556 Å
α = 90.00°, β = 90.00°, γ = 120.00°
Sites, in units of the cell vectors:
1 Sc 0.0000 0.7118 0.0000
2 Sc 0.2882 0.2882 0.0000
3 Sc 0.7118 0.0000 0.0000
4 Al 0.0000 0.3730 0.5000
5 Al 0.3730 0.0000 0.5000
6 Al 0.6270 0.6270 0.5000
7 Fe 0.3333 0.6667 0.0000
8 Fe 0.6667 0.3333 0.0000
9 Ru 0.0000 0.0000 0.5000

**Total energy**: -58.956 eV per formula unit
**M_tot**: 0.38 μB per atom
**DFT formation energy**: -0.2814 eV/atom
**Density of states at the Fermi level**: 8.05 states/eV/cell

5.
Material: Rb2InI6F
Method: DFT, PBE-GGA
State: relaxed

a = 8.2803 Å, b = 8.2803 Å, c = 8.2803 Å
α = 115.04°, β = 115.04°, γ = 98.83°
Sites, in units of the cell vectors:
1 Rb 0.2500 0.7500 0.5000
2 Rb 0.7500 0.2500 0.5000
3 In 0.0000 0.0000 0.0000
4 I 0.2298 0.2298 0.4596
5 I 0.2298 0.7702 0.0000
6 I 0.2866 0.2866 0.0000
7 I 0.7134 0.7134 0.0000
8 I 0.7702 0.2298 0.0000
9 I 0.7702 0.7702 0.5404
10 F 0.5000 0.5000 0.0000

**Total energy**: -24.204 eV per formula unit
**M_tot**: 0.00 μB per atom
**Energy relative to the elements, uncorrected**: -8.36 eV per formula unit
**Density of states at the Fermi level**: 0.00 states/eV/cell

6.
Material: CaSmCdIn
Method: DFT, PBE-GGA
State: relaxed

a = 7.6559 Å, b = 7.6559 Å, c = 7.6559 Å
α = 90.00°, β = 90.00°, γ = 90.00°
Sites, in units of the cell vectors:
1 Ca 0.0000 0.0000 0.0000
2 Ca 0.0000 0.5000 0.5000
3 Ca 0.5000 0.0000 0.5000
4 Ca 0.5000 0.5000 0.0000
5 Sm 0.0000 0.0000 0.5000
6 Sm 0.0000 0.5000 0.0000
7 Sm 0.5000 0.0000 0.0000
8 Sm 0.5000 0.5000 0.5000
9 Cd 0.2500 0.2500 0.7500
10 Cd 0.2500 0.7500 0.2500
11 Cd 0.7500 0.2500 0.2500
12 Cd 0.7500 0.7500 0.7500
13 In 0.2500 0.2500 0.2500
14 In 0.2500 0.7500 0.7500
15 In 0.7500 0.2500 0.7500
16 In 0.7500 0.7500 0.2500

**Total energy**: -12.134 eV per formula unit
**M_tot**: 0.00 μB per atom
**DFT formation energy**: -0.4399 eV/atom
**Density of states at the Fermi level**: 6.02 states/eV/cell

7.
Material: NbCdP2Cl
Method: DFT, PBE-GGA
State: relaxed

a = 4.8807 Å, b = 4.8807 Å, c = 4.9163 Å
α = 90.00°, β = 90.00°, γ = 90.00°
Sites, in units of the cell vectors:
1 Nb 0.0000 0.0000 0.0000
2 Cd 0.5000 0.5000 0.5000
3 P 0.0000 0.5000 0.0000
4 P 0.5000 0.0000 0.0000
5 Cl 0.0000 0.0000 0.5000

**Total energy**: -23.574 eV per formula unit
**M_tot**: 0.00 μB per atom
**Energy relative to the elements, uncorrected**: 0.08 eV per formula unit
**Density of states at the Fermi level**: 1.78 states/eV/cell

8.
Material: Ca2YAg
Method: DFT, PBE-GGA
State: relaxed

a = 7.7950 Å, b = 7.7950 Å, c = 7.7950 Å
α = 90.00°, β = 90.00°, γ = 90.00°
Sites, in units of the cell vectors:
1 Ca 0.0000 0.0000 0.0000
2 Ca 0.0000 0.5000 0.5000
3 Ca 0.2500 0.2500 0.2500
4 Ca 0.2500 0.7500 0.7500
5 Ca 0.5000 0.0000 0.5000
6 Ca 0.5000 0.5000 0.0000
7 Ca 0.7500 0.2500 0.7500
8 Ca 0.7500 0.7500 0.2500
9 Y 0.2500 0.2500 0.7500
10 Y 0.2500 0.7500 0.2500
11 Y 0.7500 0.2500 0.2500
12 Y 0.7500 0.7500 0.7500
13 Ag 0.0000 0.0000 0.5000
14 Ag 0.0000 0.5000 0.0000
15 Ag 0.5000 0.0000 0.0000
16 Ag 0.5000 0.5000 0.5000

**Total energy**: -13.047 eV per formula unit
**M_tot**: 0.00 μB per atom
**DFT formation energy**: 0.0679 eV/atom
**Density of states at the Fermi level**: 8.53 states/eV/cell